1.
Material: Li5NpN4
Method: DFT, PBE-GGA
State: optimized geometry

Structure (CIF):
```
data_Li5NpN4
_symmetry_space_group_name_H-M 'P 1'
_symmetry_Int_Tables_number 1
_cell_length_a 3.425
_cell_length_b 5.721
_cell_length_c 6.494
_cell_angle_alpha 116.08
_cell_angle_beta 105.29
_cell_angle_gamma 90.00
loop_
_symmetry_equiv_pos_as_xyz
'x,y,z'
loop_
_atom_site_label
_atom_site_fract_x
_atom_site_fract_y
_atom_site_fract_z
Li1 0.179 0.407 0.358
Li2 0.180 0.952 0.359
Li3 0.820 0.048 0.641
Li4 0.500 0.500 0.000
Li5 0.821 0.593 0.642
Np1 0.500 0.000 0.000
N1 0.683 0.183 0.365
N2 0.000 0.234 0.000
N3 0.317 0.817 0.635
N4 0.000 0.766 0.000
```

Properties
Total DFT energy (no corrections) in eV/cell: -63.07



2.
Material: LiNpN
Method: DFT, PBE-GGA
State: optimized geometry

Structure (CIF):
```
data_LiNpN
_symmetry_space_group_name_H-M 'P 1'
_symmetry_Int_Tables_number 1
_cell_length_a 5.586
_cell_length_b 3.318
_cell_length_c 6.671
_cell_angle_alpha 104.40
_cell_angle_beta 114.75
_cell_angle_gamma 90.00
loop_
_symmetry_equiv_pos_as_xyz
'x,y,z'
loop_
_atom_site_label
_atom_site_fract_x
_atom_site_fract_y
_atom_site_fract_z
Li1 0.727 0.227 0.454
Li2 0.273 0.773 0.546
Np1 0.292 0.500 0.000
Np2 0.708 0.500 0.000
N1 0.109 0.609 0.217
N2 0.891 0.391 0.783
```

Properties
Total DFT energy (no corrections) in eV/cell: -47.35



3.
Material: Li2NpOsN4
Method: DFT, PBE-GGA
State: optimized geometry

Structure (CIF):
```
data_Li2NpOsN4
_symmetry_space_group_name_H-M 'P 1'
_symmetry_Int_Tables_number 1
_cell_length_a 3.272
_cell_length_b 6.169
_cell_length_c 9.447
_cell_angle_alpha 90.00
_cell_angle_beta 90.00
_cell_angle_gamma 105.38
loop_
_symmetry_equiv_pos_as_xyz
'x,y,z'
loop_
_atom_site_label
_atom_site_fract_x
_atom_site_fract_y
_atom_site_fract_z
Li1 0.407 0.814 0.538
Li2 0.593 0.186 0.038
Li3 0.593 0.186 0.462
Li4 0.407 0.814 0.962
Np1 0.047 0.094 0.750
Np2 0.953 0.906 0.250
Os1 0.790 0.580 0.750
Os2 0.210 0.420 0.250
N1 0.307 0.615 0.110
N2 0.693 0.385 0.610
N3 0.693 0.385 0.890
N4 0.307 0.615 0.390
N5 0.000 0.000 0.500
N6 0.000 0.000 0.000
N7 0.397 0.793 0.750
N8 0.603 0.207 0.250
```

Properties
Total DFT energy (no corrections) in eV/cell: -124.64



4.
Material: Li3Np3OsN8
Method: DFT, PBE-GGA
State: optimized geometry

Structure (CIF):
```
data_Li3Np3OsN8
_symmetry_space_group_name_H-M 'P 1'
_symmetry_Int_Tables_number 1
_cell_length_a 6.622
_cell_length_b 6.623
_cell_length_c 6.320
_cell_angle_alpha 121.60
_cell_angle_beta 90.00
_cell_angle_gamma 120.00
loop_
_symmetry_equiv_pos_as_xyz
'x,y,z'
loop_
_atom_site_label
_atom_site_fract_x
_atom_site_fract_y
_atom_site_fract_z
Li1 0.000 0.000 0.000
Li2 0.000 0.500 0.000
Li3 0.500 0.500 0.000
Np1 0.500 0.000 0.500
Np2 0.500 0.500 0.500
Np3 0.000 0.500 0.500
Os1 0.000 0.000 0.500
N1 0.260 0.521 0.282
N2 0.740 0.479 0.718
N3 0.772 0.545 0.295
N4 0.228 0.455 0.705
N5 0.772 0.023 0.295
N6 0.228 0.977 0.705
N7 0.251 0.023 0.295
N8 0.749 0.977 0.705
```

Properties
Total DFT energy (no corrections) in eV/cell: -131.05



5.
Material: Li2NpPN4
Method: DFT, PBE-GGA
State: optimized geometry

Structure (CIF):
```
data_Li2NpPN4
_symmetry_space_group_name_H-M 'P 1'
_symmetry_Int_Tables_number 1
_cell_length_a 5.130
_cell_length_b 5.130
_cell_length_c 5.130
_cell_angle_alpha 91.68
_cell_angle_beta 119.04
_cell_angle_gamma 119.04
loop_
_symmetry_equiv_pos_as_xyz
'x,y,z'
loop_
_atom_site_label
_atom_site_fract_x
_atom_site_fract_y
_atom_site_fract_z
Li1 0.500 0.750 0.250
Li2 0.000 0.000 0.000
Np1 0.500 0.250 0.750
P1 0.000 0.500 0.500
N1 0.614 0.435 0.422
N2 0.987 0.180 0.565
N3 0.013 0.578 0.193
N4 0.386 0.807 0.820
```

Properties
Total DFT energy (no corrections) in eV/cell: -60.23



6.
Material: Li2NpPN
Method: DFT, PBE-GGA
State: optimized geometry

Structure (CIF):
```
data_Li2NpPN
_symmetry_space_group_name_H-M 'P 1'
_symmetry_Int_Tables_number 1
_cell_length_a 3.365
_cell_length_b 5.905
_cell_length_c 7.064
_cell_angle_alpha 90.00
_cell_angle_beta 90.00
_cell_angle_gamma 106.56
loop_
_symmetry_equiv_pos_as_xyz
'x,y,z'
loop_
_atom_site_label
_atom_site_fract_x
_atom_site_fract_y
_atom_site_fract_z
Li1 0.169 0.337 0.943
Li2 0.831 0.663 0.057
Li3 0.169 0.337 0.557
Li4 0.831 0.663 0.443
Np1 0.464 0.927 0.750
Np2 0.536 0.073 0.250
P1 0.750 0.501 0.750
P2 0.250 0.499 0.250
N1 0.000 0.000 0.000
N2 0.000 0.000 0.500
```

Properties
Total DFT energy (no corrections) in eV/cell: -68.15



How do the records compare in energy relative to the elements, uncorrected? In the order shown, they have -7.26, -0.50, -1.02, -8.65, -4.75, -3.57 eV/f.u..